Record 1
{"formula": "AsSe2BrN", "functional": "PBE", "state": "relaxed", "e_form_raw_ev_per_fu": 5.0, "e_above_lowest_polymorph_mev_per_atom": 0.0, "magmom_total_mub_per_cell": 0.00, "lattice_angstrom": [[-4.225, 2.753, 1.767], [-2.900, -1.816, -4.104], [-1.027, -2.852, 1.988]], "species": ["As", "Se", "Se", "Br", "N"], "frac_coords": [[0.000, 0.000, 0.000], [0.000, 0.500, 0.000], [0.500, 0.000, 0.000], [0.500, 0.500, 0.500], [0.000, 0.000, 0.500]]}

Record 2
{"formula": "AsSe2BrN", "functional": "PBE", "state": "relaxed", "e_form_raw_ev_per_fu": 5.3, "e_above_lowest_polymorph_mev_per_atom": 68.8, "magmom_total_mub_per_cell": 0.00, "lattice_angstrom": [[4.588, 0.000, 0.000], [0.000, 4.588, 0.000], [0.000, 0.000, 4.413]], "species": ["As", "Se", "Se", "Br", "N"], "frac_coords": [[0.500, 0.500, 0.500], [0.000, 0.500, 0.000], [0.500, 0.000, 0.000], [0.000, 0.000, 0.500], [0.000, 0.000, 0.000]]}

Record 3
{"formula": "AsSe2BrN", "functional": "PBE", "state": "relaxed", "e_form_raw_ev_per_fu": 5.2, "e_above_lowest_polymorph_mev_per_atom": 43.4, "magmom_total_mub_per_cell": 0.00, "lattice_angstrom": [[4.421, 0.000, 0.000], [0.000, 4.421, 0.000], [0.000, 0.000, 4.772]], "species": ["As", "Se", "Se", "Br", "N"], "frac_coords": [[0.000, 0.000, 0.500], [0.000, 0.500, 0.000], [0.500, 0.000, 0.000], [0.500, 0.500, 0.500], [0.000, 0.000, 0.000]]}

no.,E (eV/cell)
1,-16.635
2,-16.291
3,-16.418